1.
# CaTcP | Alexandria | GGA-PBE | optimized geometry
# Total energy (eV/atom): -4.80
# Energy above the most stable polymorph in this dataset (meV per atom): 1815
data_CaTcP
_cell_length_a 6.478
_cell_length_b 6.478
_cell_length_c 6.478
_cell_angle_alpha 90.00
_cell_angle_beta 90.00
_cell_angle_gamma 90.00
_space_group_name_H-M_alt 'F -4 3 m'
_space_group_IT_number 216
_space_group_name_Hall 'F -4 2 3'
loop_
_atom_site_label
_atom_site_type_symbol
_atom_site_fract_x
_atom_site_fract_y
_atom_site_fract_z
Ca1 Ca 0.000 0.000 0.000
Tc1 Tc 0.250 0.250 0.250
P1 P 0.250 0.250 0.750

=====

2.
# TmP2Pd6 | Alexandria | GGA-PBE | optimized geometry
# Total energy (eV/atom): -5.79
data_TmP2Pd6
_cell_length_a 4.072
_cell_length_b 4.072
_cell_length_c 8.598
_cell_angle_alpha 90.00
_cell_angle_beta 90.00
_cell_angle_gamma 90.00
_space_group_name_H-M_alt 'P 4/m m m'
_space_group_IT_number 123
_space_group_name_Hall '-P 4 2'
loop_
_atom_site_label
_atom_site_type_symbol
_atom_site_fract_x
_atom_site_fract_y
_atom_site_fract_z
Tm1 Tm 0.000 0.000 0.000
P1 P 0.500 0.500 0.126
Pd1 Pd 0.000 0.000 0.500
Pd2 Pd 0.000 0.500 0.267
Pd3 Pd 0.500 0.500 0.500